VASP calculation (GGA+U) on a geometry-optimized Li15Cr2O12 structure.

Magnetic moment in μB per cell: 2.96
Final energy in eV per atom: -5.35

abc: 5.2837 6.0203 8.1599
angles: 93.80 90.27 88.26
With the nearest neighbours (Å) after each atom.
Sites, in units of the cell vectors:
O: 0.7971 0.3372 0.5604  5 Li 1.92-2.11, 1 Cr 1.92
O: 0.3261 0.4935 0.7088  5 Li 1.88-2.09, 1 Cr 2.06
O: 0.7235 0.1652 0.9506  1 Cr 1.81, 2 Li 1.99-2.00
O: 0.8413 0.7197 0.9307  5 Li 1.87-1.97
O: 0.6758 0.7724 0.5637  5 Li 1.89-2.00, 1 Cr 2.09
O: 0.1690 0.2956 0.0836  1 Cr 1.87, 3 Li 1.93-2.01
O: 0.8466 0.0092 0.2406  6 Li 1.96-2.09, 1 Cr 2.01
O: 0.1541 0.0103 0.7968  5 Li 1.92-2.10, 1 Cr 1.98
O: 0.2693 0.8514 0.0892  1 Cr 1.82, 4 Li 1.92-1.97
O: 0.3429 0.2074 0.4224  1 Cr 1.89, 3 Li 1.90-2.05
O: 0.2072 0.6654 0.4168  5 Li 1.90-2.08, 1 Cr 1.94
O: 0.6507 0.5048 0.2529  4 Li 1.89-1.98, 1 Cr 2.06
Li: 0.2986 0.5656 0.1932  4 O 1.94-1.97
Li: 0.6273 0.7978 0.1076  3 O 1.87-2.01
Li: 0.3376 0.8354 0.6294  3 O 1.89-2.08
Li: 0.1925 0.6872 0.8795  4 O 1.88-2.10
Li: 0.8510 0.4528 0.0492  4 O 1.93-1.99
Li: 0.5284 0.2052 0.1836  5 O 1.98-2.18
Li: 0.1283 0.2333 0.6315  4 O 1.94-2.05
Li: 0.7902 0.9356 0.7608  4 O 1.93-2.03
Li: 0.9744 0.3102 0.3279  5 O 2.04-2.24
Li: 0.9985 0.5958 0.5935  4 O 1.90-2.06
Li: 0.6671 0.0622 0.4636  4 O 1.93-2.06
Li: 0.2021 0.9473 0.3179  4 O 1.90-2.01
Li: 0.8509 0.7307 0.3533  4 O 1.89-1.98
Li: 0.3732 0.2465 0.8763  4 O 1.94-2.09
Li: 0.6735 0.5329 0.7672  3 O 1.91-2.09
Cr: 0.4947 0.4812 0.4811  6 O 1.89-2.09
Cr: 0.0103 0.0302 0.0207  5 O 1.81-2.01